DFT (GGA-PBE) results for a geometry-optimized CrPSe structure.

Summary:
VASP energy	-74.2	eV for the cell shown
formation energy from raw total energies	-15	meV per atom

Lattice parameters (Å, degrees): 5.9093 5.9093 5.9093 90.00 90.00 90.00
With the nearest neighbours (Å) after each atom.
Space group F-43m (No. 216)
Inequivalent atoms, fractional coordinates:
Cr1 0.0000 0.0000 0.0000 x4  4 Se 2.56, 4 P 2.56
P1 0.2500 0.2500 0.7500 x4  4 Cr 2.56
Se1 0.2500 0.2500 0.2500 x4  4 Cr 2.56

DFT (GGA-PBE) results for a geometry-optimized CrPSe2 structure.

Summary:
VASP energy	-42.8	eV for the cell shown
formation energy from raw total energies	152	meV per atom

Lattice parameters (Å, degrees): 3.0066 4.4809 12.7297 90.00 90.00 90.00
With the nearest neighbours (Å) after each atom.
Space group Imm2 (No. 44)
Inequivalent atoms, fractional coordinates:
Cr1 0.0000 0.0000 0.0000 x2  2 Se 2.41, 2 P 2.42
P1 0.0000 0.5000 0.6488 x2  2 Cr 2.42, 2 Se 2.53
Se1 0.0000 0.0000 0.5568 x2  2 P 2.53, 4 Cr 2.79
Se2 0.0000 0.5000 0.3523 x2  2 Cr 2.41

DFT (GGA-PBE) results for a geometry-optimized CrPSe2 structure.

Summary:
VASP energy	-42.7	eV for the cell shown
formation energy from raw total energies	166	meV per atom

Lattice parameters (Å, degrees): 5.5096 7.4662 3.7262 90.00 90.00 90.00
With the nearest neighbours (Å) after each atom.
Space group Cmmm (No. 65)
Inequivalent atoms, fractional coordinates:
Cr1 0.0000 0.0000 0.0000 x2  4 Se 2.62, 2 P 2.75
P1 0.0000 0.5000 0.0000 x2  4 Se 2.66, 2 Cr 2.75
Se1 0.0000 0.2462 0.5000 x4  2 Cr 2.62, 2 P 2.66, 2 Se 2.76

DFT (GGA-PBE) results for a geometry-optimized CrP2Se6 structure.

Summary:
VASP energy	-129.3	eV for the cell shown
formation energy from raw total energies	-195	meV per atom

Lattice parameters (Å, degrees): 6.2960 6.2960 22.3763 90.00 90.00 120.00
With the nearest neighbours (Å) after each atom.
Space group R3 (No. 146, hexagonal axes)
Inequivalent atoms, fractional coordinates:
Cr1 0.0000 0.0000 0.0000 x3  6 Se 2.51
P1 0.0000 0.0000 0.6180 x3  1 P 2.19, 3 Se 2.24
P2 0.0000 0.0000 0.7159 x3  1 P 2.19, 3 Se 2.24
Se1 0.0497 0.3643 0.5908 x9  1 P 2.24
Se2 0.0506 0.6855 0.7428 x9  1 P 2.24